[1]
## Li2Ho2Si3 (PBE)

Data for crystalline Li2Ho2Si3 at its relaxed geometry. Values from VASP.

Calculated values
Symmetry: No. 63
Total moment, μB per cell: 0.0
E, eV/atom: -4.7765

Geometry as Quantum ESPRESSO input:
```
&SYSTEM
  ibrav = 0, nat = 14, ntyp = 3
/
ATOMIC_SPECIES
Li 6.94 Li.upf
Ho 164.93 Ho.upf
Si 28.09 Si.upf
CELL_PARAMETERS angstrom
2.120 -8.947 0.000
2.120 8.947 0.000
0.000 0.000 6.622
ATOMIC_POSITIONS angstrom
Li 2.120 5.548 3.715
Li 2.120 5.548 6.217
Li 2.120 -5.548 0.404
Li 2.120 -5.548 2.907
Ho 2.120 2.801 4.966
Ho 2.120 0.927 1.655
Ho 2.120 -0.927 4.966
Ho 2.120 -2.801 1.655
Si 2.120 7.875 0.471
Si 2.120 7.875 2.840
Si 2.120 3.949 1.655
Si 2.120 -3.949 4.966
Si 2.120 -7.875 3.782
Si 2.120 -7.875 6.151
```



[2]
## LiHoSi (PBE)

Data for crystalline LiHoSi at its relaxed geometry. Values from VASP.

Calculated values
Symmetry: No. 216
Total moment, μB per cell: 0.0
E, eV/atom: -4.3916

Geometry as Quantum ESPRESSO input:
```
&SYSTEM
  ibrav = 0, nat = 3, ntyp = 3
/
ATOMIC_SPECIES
Li 6.94 Li.upf
Ho 164.93 Ho.upf
Si 28.09 Si.upf
CELL_PARAMETERS angstrom
0.000 3.257 3.257
3.257 0.000 3.257
3.257 3.257 0.000
ATOMIC_POSITIONS angstrom
Li 0.000 0.000 0.000
Ho 3.257 3.257 3.257
Si 4.885 4.885 4.885
```



[3]
## Li4HoSi2 (PBE)

Data for crystalline Li4HoSi2 at its relaxed geometry. Values from VASP.

Calculated values
Symmetry: No. 65
Total moment, μB per cell: 0.6
E, eV/atom: -2.7978

Geometry as Quantum ESPRESSO input:
```
&SYSTEM
  ibrav = 0, nat = 7, ntyp = 3
/
ATOMIC_SPECIES
Li 6.94 Li.upf
Ho 164.93 Ho.upf
Si 28.09 Si.upf
CELL_PARAMETERS angstrom
2.449 -5.805 0.000
2.449 5.805 0.000
0.000 0.000 4.672
ATOMIC_POSITIONS angstrom
Li 0.000 0.000 0.000
Li 2.449 3.245 0.000
Li 2.449 0.000 2.336
Li 2.449 -3.245 0.000
Ho 2.449 0.000 0.000
Si 2.449 4.595 2.336
Si 2.449 -4.595 2.336
```



[4]
## Li3Ho3Si2Sn (PBE)

Data for crystalline Li3Ho3Si2Sn at its relaxed geometry. Values from VASP.

Calculated values
Symmetry: No. 189
Total moment, μB per cell: 0.0
E, eV/atom: -4.4426

Geometry as Quantum ESPRESSO input:
```
&SYSTEM
  ibrav = 0, nat = 9, ntyp = 4
/
ATOMIC_SPECIES
Li 6.94 Li.upf
Ho 164.93 Ho.upf
Si 28.09 Si.upf
Sn 118.71 Sn.upf
CELL_PARAMETERS angstrom
7.030 0.000 0.000
-3.515 6.088 0.000
0.000 0.000 4.303
ATOMIC_POSITIONS angstrom
Li -2.668 4.620 0.000
Li 0.847 1.468 0.000
Li 5.335 0.000 0.000
Ho -1.575 2.728 2.151
Ho 3.150 0.000 2.151
Ho 1.940 3.360 2.151
Si 0.000 4.059 0.000
Si 3.515 2.029 0.000
Sn 0.000 0.000 2.151
```